Entry from Alexandria via LeMat-Bulk: a relaxed LiCa12In6 crystal (PBE).

Summary:
calculated formation energy	-464.5	kJ/mol of formula units
raw total energy	-2.48	eV per atom

Cell lengths 8.464, 8.464, 8.464 Å; angles 87.04, 87.04, 87.04 degrees
Fractional coordinates of all 19 atoms:
Li (0.000, 0.000, 0.000)
Ca (0.009, 0.366, 0.150)
Ca (0.150, 0.009, 0.366)
Ca (0.199, 0.567, 0.455)
Ca (0.366, 0.150, 0.009)
Ca (0.433, 0.545, 0.801)
Ca (0.455, 0.199, 0.567)
Ca (0.545, 0.801, 0.433)
Ca (0.567, 0.455, 0.199)
Ca (0.634, 0.850, 0.991)
Ca (0.801, 0.433, 0.545)
Ca (0.850, 0.991, 0.634)
Ca (0.991, 0.634, 0.850)
In (0.103, 0.270, 0.743)
In (0.257, 0.897, 0.730)
In (0.270, 0.743, 0.103)
In (0.730, 0.257, 0.897)
In (0.743, 0.103, 0.270)
In (0.897, 0.730, 0.257)

***

Entry from Alexandria via LeMat-Bulk: a relaxed LiCaIn6 crystal (PBE).

Summary:
calculated formation energy	-155.6	kJ/mol of formula units
raw total energy	-2.74	eV per atom
energy relative to the lowest polymorph listed for this composition	1.1	kJ/mol of atoms

Cell lengths 6.614, 6.614, 5.352 Å; angles 90.00, 90.00, 120.00 degrees
Fractional coordinates of all 8 atoms:
Li (0.000, 0.000, 0.000)
Ca (0.667, 0.333, 0.500)
In (0.007, 0.504, 0.000)
In (0.162, 0.324, 0.500)
In (0.162, 0.838, 0.500)
In (0.496, 0.504, 0.000)
In (0.496, 0.993, 0.000)
In (0.676, 0.838, 0.500)

***

Entry from Alexandria via LeMat-Bulk: a relaxed LiCaIn crystal (PBE).

Summary:
calculated formation energy	-94.9	kJ/mol of formula units
raw total energy	-2.55	eV per atom

Cell lengths 6.137, 6.137, 6.137 Å; angles 132.15, 102.32, 96.64 degrees
Fractional coordinates of all 6 atoms:
Li (0.189, 0.000, 0.189)
Li (0.811, 0.000, 0.811)
Ca (0.388, 0.388, 0.000)
Ca (0.778, 0.278, 0.500)
In (0.363, 0.669, 0.693)
In (0.976, 0.669, 0.307)

***

Entry from Alexandria via LeMat-Bulk: a relaxed LiCa4In2 crystal (PBE).

Summary:
calculated formation energy	-193.7	kJ/mol of formula units
raw total energy	-2.49	eV per atom

Cell lengths 9.359, 9.359, 9.359 Å; angles 33.78, 33.78, 33.78 degrees
Fractional coordinates of all 7 atoms:
Li (0.000, 0.000, 0.000)
Ca (0.128, 0.128, 0.128)
Ca (0.379, 0.379, 0.379)
Ca (0.621, 0.621, 0.621)
Ca (0.872, 0.872, 0.872)
In (0.255, 0.255, 0.255)
In (0.745, 0.745, 0.745)

***

Entry from Alexandria via LeMat-Bulk: a relaxed LiCa2In9 crystal (PBE).

Summary:
calculated formation energy	-288.3	kJ/mol of formula units
raw total energy	-2.80	eV per atom

Cell lengths 4.709, 4.709, 13.833 Å; angles 90.00, 90.00, 90.00 degrees
Fractional coordinates of all 12 atoms:
Li (0.000, 0.000, 0.000)
Ca (0.000, 0.000, 0.327)
Ca (0.000, 0.000, 0.673)
In (0.000, 0.500, 0.155)
In (0.000, 0.500, 0.500)
In (0.000, 0.500, 0.845)
In (0.500, 0.000, 0.155)
In (0.500, 0.000, 0.500)
In (0.500, 0.000, 0.845)
In (0.500, 0.500, 0.000)
In (0.500, 0.500, 0.335)
In (0.500, 0.500, 0.665)

***

Entry from Alexandria via LeMat-Bulk: a relaxed Li2Ca6In crystal (PBE).

Summary:
calculated formation energy	-103.1	kJ/mol of formula units
raw total energy	-2.18	eV per atom

Cell lengths 10.641, 8.702, 7.250 Å; angles 83.14, 54.29, 42.57 degrees
Fractional coordinates of all 9 atoms:
Li (0.163, 0.163, 0.837)
Li (0.837, 0.837, 0.163)
Ca (0.143, 0.857, 0.143)
Ca (0.190, 0.480, 0.520)
Ca (0.480, 0.190, 0.810)
Ca (0.520, 0.810, 0.190)
Ca (0.810, 0.520, 0.480)
Ca (0.857, 0.143, 0.857)
In (0.500, 0.500, 0.500)

***

Entry from Alexandria via LeMat-Bulk: a relaxed Li2Ca3In4 crystal (PBE).

Summary:
calculated formation energy	-334.8	kJ/mol of formula units
raw total energy	-2.70	eV per atom

Cell lengths 6.138, 6.138, 9.468 Å; angles 114.00, 114.00, 47.45 degrees
Fractional coordinates of all 9 atoms:
Li (0.052, 0.052, 0.230)
Li (0.948, 0.948, 0.770)
Ca (0.181, 0.181, 0.636)
Ca (0.500, 0.500, 0.000)
Ca (0.819, 0.819, 0.364)
In (0.234, 0.234, 0.084)
In (0.476, 0.476, 0.639)
In (0.524, 0.524, 0.361)
In (0.766, 0.766, 0.916)

***

Entry from Alexandria via LeMat-Bulk: a relaxed Li6CaIn12 crystal (PBE).

Summary:
calculated formation energy	-222.7	kJ/mol of formula units
raw total energy	-2.56	eV per atom

Cell lengths 8.082, 8.082, 8.082 Å; angles 105.18, 105.18, 105.18 degrees
Fractional coordinates of all 19 atoms:
Li (0.284, 0.284, 0.709)
Li (0.284, 0.709, 0.284)
Li (0.291, 0.716, 0.716)
Li (0.709, 0.284, 0.284)
Li (0.716, 0.291, 0.716)
Li (0.716, 0.716, 0.291)
Ca (0.000, 0.000, 0.000)
In (0.116, 0.500, 0.884)
In (0.116, 0.884, 0.500)
In (0.144, 0.394, 0.394)
In (0.394, 0.144, 0.394)
In (0.394, 0.394, 0.144)
In (0.500, 0.116, 0.884)
In (0.500, 0.884, 0.116)
In (0.606, 0.606, 0.856)
In (0.606, 0.856, 0.606)
In (0.856, 0.606, 0.606)
In (0.884, 0.116, 0.500)
In (0.884, 0.500, 0.116)

***

Entry from Alexandria via LeMat-Bulk: a relaxed LiCaIn crystal (PBE).

Summary:
calculated formation energy	-94.6	kJ/mol of formula units
raw total energy	-2.54	eV per atom

Cell lengths 6.164, 6.164, 5.651 Å; angles 90.00, 90.00, 132.62 degrees
Fractional coordinates of all 6 atoms:
Li (0.000, 0.000, 0.000)
Li (0.000, 0.000, 0.500)
Ca (0.281, 0.719, 0.750)
Ca (0.719, 0.281, 0.250)
In (0.424, 0.576, 0.250)
In (0.576, 0.424, 0.750)

***

Entry from Alexandria via LeMat-Bulk: a relaxed LiCa3In4 crystal (PBE).

Summary:
calculated formation energy	-315.9	kJ/mol of formula units
raw total energy	-2.77	eV per atom

Cell lengths 3.714, 3.714, 15.419 Å; angles 90.00, 90.00, 90.00 degrees
Fractional coordinates of all 8 atoms:
Li (0.000, 0.000, 0.000)
Ca (0.000, 0.000, 0.238)
Ca (0.000, 0.000, 0.500)
Ca (0.000, 0.000, 0.762)
In (0.500, 0.500, 0.100)
In (0.500, 0.500, 0.372)
In (0.500, 0.500, 0.628)
In (0.500, 0.500, 0.900)

***

Entry from Alexandria via LeMat-Bulk: a relaxed Li4Ca11In9 crystal (PBE).

Summary:
calculated formation energy	-788.3	kJ/mol of formula units
raw total energy	-2.60	eV per atom

Cell lengths 13.680, 13.680, 3.848 Å; angles 90.00, 90.00, 112.77 degrees
Fractional coordinates of all 24 atoms:
Li (0.050, 0.243, 0.000)
Li (0.243, 0.050, 0.000)
Li (0.757, 0.950, 0.000)
Li (0.950, 0.757, 0.000)
Ca (0.091, 0.440, 0.500)
Ca (0.138, 0.862, 0.500)
Ca (0.216, 0.216, 0.500)
Ca (0.337, 0.663, 0.500)
Ca (0.440, 0.091, 0.500)
Ca (0.500, 0.500, 0.500)
Ca (0.560, 0.909, 0.500)
Ca (0.663, 0.337, 0.500)
Ca (0.784, 0.784, 0.500)
Ca (0.862, 0.138, 0.500)
Ca (0.909, 0.560, 0.500)
In (0.000, 0.000, 0.000)
In (0.128, 0.662, 0.000)
In (0.281, 0.427, 0.000)
In (0.338, 0.872, 0.000)
In (0.427, 0.281, 0.000)
In (0.573, 0.719, 0.000)
In (0.662, 0.128, 0.000)
In (0.719, 0.573, 0.000)
In (0.872, 0.338, 0.000)

***

Entry from Alexandria via LeMat-Bulk: a relaxed Li3Ca2In4 crystal (PBE).

Summary:
calculated formation energy	-282.9	kJ/mol of formula units
raw total energy	-2.63	eV per atom

Cell lengths 8.956, 8.956, 8.432 Å; angles 90.00, 90.00, 139.87 degrees
Fractional coordinates of all 18 atoms:
Li (0.000, 0.000, 0.000)
Li (0.011, 0.489, 0.250)
Li (0.489, 0.011, 0.750)
Li (0.500, 0.500, 0.500)
Li (0.511, 0.989, 0.250)
Li (0.989, 0.511, 0.750)
Ca (0.102, 0.898, 0.399)
Ca (0.398, 0.602, 0.899)
Ca (0.602, 0.398, 0.101)
Ca (0.898, 0.102, 0.601)
In (0.175, 0.825, 0.011)
In (0.180, 0.320, 0.250)
In (0.320, 0.180, 0.750)
In (0.325, 0.675, 0.511)
In (0.675, 0.325, 0.489)
In (0.680, 0.820, 0.250)
In (0.820, 0.680, 0.750)
In (0.825, 0.175, 0.989)